#P
The following is a GGA-PBE calculation of an optimized crystal structure of FeHOs2, from Alexandria.

M_tot: 8.6 μB/cell
DOS at the Fermi energy: 11.133 states/eV per cell

Cell lengths 5.679, 5.679, 5.679 Å; angles 90.00, 90.00, 90.00 degrees
Space group Fm-3m (No. 225)
Inequivalent atoms, fractional coordinates:
Fe: 0.000 0.000 0.000 [4 per cell]
H: 0.000 0.000 0.500 [4 per cell]
Os: 0.250 0.250 0.250 [8 per cell]

---

#Q
The following is a GGA-PBE calculation of an optimized crystal structure of FeHOs2, from Alexandria.

M_tot: 6.6 μB/cell
DOS at the Fermi energy: 16.411 states/eV per cell

Cell lengths 5.945, 5.945, 4.972 Å; angles 90.00, 90.00, 90.00 degrees
Space group I-42d (No. 122)
Inequivalent atoms, fractional coordinates:
Fe: 0.000 0.000 0.000 [4 per cell]
H: 0.000 0.000 0.500 [4 per cell]
Os: 0.161 0.750 0.625 [8 per cell]

---

On energetic grounds, #Q is preferred over the next structure by 26.8 kJ/mol of atoms.

---

#P
The following is a GGA-PBE calculation of an optimized crystal structure of FeH2Os, from Alexandria.

M_tot: 7.8 μB/cell
DOS at the Fermi energy: 9.590 states/eV per cell

Cell lengths 4.003, 4.003, 7.989 Å; angles 90.00, 90.00, 90.00 degrees
Space group I-42d (No. 122)
Inequivalent atoms, fractional coordinates:
Fe: 0.000 0.000 0.000 [4 per cell]
H: 0.221 0.250 0.125 [8 per cell]
Os: 0.000 0.000 0.500 [4 per cell]

---

#Q
The following is a GGA-PBE calculation of an optimized crystal structure of FeH2Os, from Alexandria.

M_tot: 12.4 μB/cell
DOS at the Fermi energy: 8.807 states/eV per cell

Cell lengths 5.098, 5.098, 5.098 Å; angles 90.00, 90.00, 90.00 degrees
Space group Fm-3m (No. 225)
Inequivalent atoms, fractional coordinates:
Fe: 0.000 0.000 0.000 [4 per cell]
H: 0.250 0.250 0.250 [8 per cell]
Os: 0.000 0.000 0.500 [4 per cell]

---

On energetic grounds, #P is preferred over the next structure by 45.4 kJ/mol of atoms.

---

#P
The following is a GGA-PBE calculation of an optimized crystal structure of FeHOs3, from Alexandria.

M_tot: 1.7 μB/cell
DOS at the Fermi energy: 6.706 states/eV per cell

Cell lengths 4.406, 4.406, 4.406 Å; angles 90.00, 90.00, 90.00 degrees
Space group Pm-3m (No. 221)
Inequivalent atoms, fractional coordinates:
Fe: 0.000 0.000 0.000 [1 per cell]
H: 0.500 0.500 0.500 [1 per cell]
Os: 0.000 0.000 0.500 [3 per cell]

---

#Q
The following is a GGA-PBE calculation of an optimized crystal structure of FeHOs3, from Alexandria.

M_tot: 1.0 μB/cell
DOS at the Fermi energy: 5.119 states/eV per cell

Cell lengths 3.849, 3.849, 3.849 Å; angles 90.00, 90.00, 90.00 degrees
Space group Pm-3m (No. 221)
Inequivalent atoms, fractional coordinates:
Fe: 0.000 0.000 0.000 [1 per cell]
H: 0.500 0.500 0.500 [1 per cell]
Os: 0.000 0.500 0.500 [3 per cell]

---

On energetic grounds, #Q is preferred over the next structure by 212.3 kJ/mol of atoms.

---

#P
The following is a GGA-PBE calculation of an optimized crystal structure of Fe2H2Os, from Alexandria.

M_tot: 0.0 μB/cell
DOS at the Fermi energy: 7.351 states/eV per cell

Cell lengths 2.671, 2.671, 11.320 Å; angles 90.00, 90.00, 90.00 degrees
Space group I4/mmm (No. 139)
Inequivalent atoms, fractional coordinates:
Fe: 0.000 0.000 0.154 [4 per cell]
H: 0.000 0.500 0.250 [4 per cell]
Os: 0.000 0.000 0.500 [2 per cell]

---

#Q
The following is a GGA-PBE calculation of an optimized crystal structure of Fe2H2Os, from Alexandria.

M_tot: 0.0 μB/cell
DOS at the Fermi energy: 6.867 states/eV per cell

Cell lengths 5.619, 5.619, 2.668 Å; angles 90.00, 90.00, 90.00 degrees
Space group P4/mbm (No. 127)
Inequivalent atoms, fractional coordinates:
Fe: 0.134 0.366 0.000 [4 per cell]
H: 0.220 0.720 0.500 [4 per cell]
Os: 0.000 0.000 0.500 [2 per cell]

---

On energetic grounds, #P is preferred over the next structure by 23.1 kJ/mol of atoms.